(1)
La2PmDy4 GGA-PBE relaxed; Fermi-level density of states = 1.563 states/eV/atom
1.0
4.6253 0.0000 0.0000
0.0000 4.6253 0.0000
-2.3127 -2.3127 11.3590
La Pm Dy
2 1 4
direct
0.5987 0.5987 0.1973
0.4013 0.4013 0.8027
0.0000 0.0000 0.0000
0.1403 0.1403 0.2805
0.8597 0.8597 0.7195
0.7500 0.2500 0.5000
0.2500 0.7500 0.5000

(2)
La2PmDy4 GGA-PBE relaxed; Fermi-level density of states = 1.792 states/eV/atom
1.0
7.7957 -1.5869 1.9613
1.0874 7.5489 1.7691
-2.1535 -1.4218 7.3918
Pm Dy La
2 8 4
direct
0.5000 0.5000 0.0000
0.0000 0.5000 0.0000
0.2812 0.2523 0.2482
0.7188 0.2518 0.2477
0.2812 0.7482 0.7523
0.7188 0.7477 0.7518
0.7189 0.7479 0.2479
0.7188 0.2521 0.7520
0.2812 0.7479 0.2480
0.2811 0.2521 0.7521
0.0000 0.0000 0.0000
0.0000 0.0000 0.5000
0.0000 0.5000 0.5000
0.5000 0.0000 0.5000

Computed stability ranking, most favorable first: (1), (2)

(1)
La3Pm2Dy2 GGA-PBE relaxed; Fermi-level density of states = 1.591 states/eV/atom
1.0
-1.3317 -1.6342 -2.8674
4.0463 -7.3565 2.3136
-7.6344 2.2852 4.4517
La Pm Dy
3 2 2
direct
0.0000 0.5000 0.0000
0.2135 0.7950 0.4270
0.7865 0.2050 0.5730
0.5643 0.9110 0.1286
0.4357 0.0890 0.8714
0.8550 0.6710 0.7101
0.1450 0.3290 0.2899

(2)
La3Pm2Dy2 GGA-PBE relaxed; Fermi-level density of states = 1.581 states/eV/atom
1.0
0.6144 3.2515 1.5817
-7.7565 -4.5471 8.0694
2.9784 -1.1657 5.4819
La Pm Dy
3 2 2
direct
0.0000 0.0000 0.0000
0.5732 0.4289 0.2841
0.4268 0.5711 0.7159
0.8571 0.1424 0.4272
0.1429 0.8576 0.5728
0.7126 0.2847 0.8599
0.2874 0.7153 0.1401

Computed stability ranking, most favorable first: (2), (1)

(1)
La3PmDy6 GGA-PBE relaxed; Fermi-level density of states = 2.305 states/eV/atom
1.0
8.8234 0.0000 4.6823
3.1693 8.2345 4.6823
2.2644 1.5548 6.3876
La Pm Dy
3 1 6
direct
0.3495 0.3495 0.9515
0.5985 0.5985 0.2044
0.1007 0.1007 0.6978
0.8496 0.8496 0.4512
0.9250 0.6030 0.1965
0.2755 0.9250 0.1965
0.6030 0.2755 0.1965
0.0975 0.4250 0.7019
0.7757 0.0975 0.7019
0.4250 0.7757 0.7019

(2)
La3PmDy6 GGA-PBE relaxed; Fermi-level density of states = 1.417 states/eV/atom
1.0
-5.0254 3.9091 -0.3201
-6.7743 -8.7522 -0.5314
2.7271 4.3112 9.8362
La Pm Dy
6 2 12
direct
0.4650 0.9393 0.7114
0.9650 0.7114 0.9393
0.0713 0.3884 0.6116
0.5713 0.6116 0.3884
0.9650 0.0607 0.2886
0.4650 0.2886 0.0607
0.1254 0.1941 0.8059
0.6254 0.8059 0.1941
0.0467 0.7142 0.6225
0.5467 0.6225 0.7142
0.3727 0.5313 0.9516
0.8727 0.9516 0.5313
0.3741 0.9624 0.0376
0.6456 0.2762 0.7238
0.1456 0.7238 0.2762
0.8741 0.0376 0.9624
0.3727 0.0484 0.4687
0.8727 0.4687 0.0484
0.0467 0.3775 0.2858
0.5467 0.2858 0.3775

Computed stability ranking, most favorable first: (2), (1)

(1)
La7PmDy2 GGA-PBE relaxed; Fermi-level density of states = 1.759 states/eV/atom
1.0
-3.0479 1.7550 -0.4200
-0.5246 -3.3114 -10.0284
-4.8879 -6.9942 6.2449
La Pm Dy
7 1 2
direct
0.0000 0.6797 0.3203
0.0000 0.3203 0.6797
0.5000 0.1251 0.3876
0.5000 0.8749 0.6124
0.5000 0.3876 0.1251
0.5000 0.6124 0.8749
0.5000 0.5000 0.5000
0.0000 0.0000 0.0000
0.5000 0.8338 0.1662
0.5000 0.1662 0.8338

(2)
La7PmDy2 GGA-PBE relaxed; Fermi-level density of states = 1.825 states/eV/atom
1.0
-3.6278 -0.4641 -4.5197
-4.9049 -6.4332 4.5975
-1.9757 9.0692 0.6546
La Pm Dy
7 1 2
direct
0.0000 0.7631 0.2369
0.0000 0.2369 0.7631
0.5000 0.0667 0.2978
0.5000 0.9333 0.7022
0.5000 0.2978 0.0667
0.5000 0.7022 0.9333
0.5000 0.5000 0.5000
0.0000 0.0000 0.0000
0.5000 0.7036 0.2964
0.5000 0.2964 0.7036

Computed stability ranking, most favorable first: (1), (2)

(1)
La12Pm7Dy GGA-PBE relaxed; Fermi-level density of states = 1.276 states/eV/atom
1.0
6.3059 0.0000 -1.2978
-3.2509 9.8719 -5.1499
0.1959 0.0000 11.5977
La Pm Dy
12 7 1
direct
0.0931 0.5924 0.1849
0.0918 0.1849 0.5925
0.5700 0.6448 0.0002
0.4302 0.0002 0.3554
0.4993 0.4075 0.5924
0.0748 0.6446 0.6448
0.9252 0.3554 0.3552
0.5007 0.5925 0.4076
0.5698 0.9998 0.6446
0.4300 0.3552 0.9998
0.9082 0.8151 0.4075
0.9069 0.4076 0.8151
0.1155 0.7486 0.0001
0.8846 0.0001 0.2515
0.6331 0.7485 0.7486
0.5000 0.0000 0.0000
0.3669 0.2515 0.2514
0.1154 0.9999 0.7485
0.8845 0.2514 0.9999
0.0000 0.0000 0.0000

(2)
La12Pm7Dy GGA-PBE relaxed; Fermi-level density of states = 1.919 states/eV/atom
1.0
-7.2454 -3.9554 -3.4435
1.7000 -7.4015 4.7252
-4.9863 3.0763 6.7582
La Pm Dy
12 7 1
direct
0.8540 0.2574 0.7204
0.7426 0.2796 0.1460
0.6051 0.1434 0.4846
0.8566 0.5154 0.3949
0.2796 0.1460 0.7426
0.5154 0.3949 0.8566
0.4846 0.6051 0.1434
0.7204 0.8540 0.2574
0.1434 0.4846 0.6051
0.3949 0.8566 0.5154
0.2574 0.7204 0.8540
0.1460 0.7426 0.2796
0.8608 0.6181 0.9311
0.3819 0.0689 0.1392
0.0689 0.1392 0.3819
0.5000 0.5000 0.5000
0.9311 0.8608 0.6181
0.6181 0.9311 0.8608
0.1392 0.3819 0.0689
0.0000 0.0000 0.0000

Computed stability ranking, most favorable first: (1), (2)

(1)
LaPmDyZn GGA-PBE relaxed; Fermi-level density of states = 1.454 states/eV/atom
1.0
3.6469 0.0000 0.0000
0.0000 3.6469 0.0000
0.0000 0.0000 8.8189
La Pm Dy Zn
1 1 1 1
direct
0.0000 0.0000 0.0779
0.5000 0.5000 0.7736
0.5000 0.5000 0.3716
0.0000 0.0000 0.5616

(2)
LaPmDyZn GGA-PBE relaxed; Fermi-level density of states = 1.401 states/eV/atom
1.0
5.4746 0.0000 0.0000
2.7373 4.7412 0.0000
2.7373 1.5804 4.4700
Zn Pm La Dy
1 1 1 1
direct
0.0000 0.0000 0.0000
0.5000 0.5000 0.5000
0.7500 0.7500 0.7500
0.2500 0.2500 0.2500

Computed stability ranking, most favorable first: (1), (2)

(1)
LaPrDy4 GGA-PBE relaxed; Fermi-level density of states = 1.451 states/eV/atom
1.0
5.0881 -0.0077 -0.0033
-2.5431 5.6409 -5.1754
-0.0013 -4.0486 10.6557
La Pr Dy
1 1 4
direct
0.0000 0.0000 0.0000
0.5000 0.0000 0.5000
0.8341 0.6688 0.5022
0.1659 0.3312 0.4978
0.3340 0.6684 0.0033
0.6660 0.3315 0.9967

(2)
LaPrDy4 GGA-PBE relaxed; Fermi-level density of states = 1.524 states/eV/atom
1.0
5.6989 -1.0013 0.0000
-3.9728 10.5790 0.0000
0.0000 0.0000 7.0853
La Pr Dy
2 2 8
direct
0.7019 0.4189 0.7500
0.2981 0.5811 0.2500
0.6386 0.9182 0.7500
0.3614 0.0818 0.2500
0.3617 0.5838 0.7500
0.6383 0.4162 0.2500
0.3023 0.0806 0.7500
0.6977 0.9194 0.2500
0.9999 0.7523 0.9988
0.0001 0.2477 0.4988
0.9999 0.7523 0.5012
0.0001 0.2477 0.0012

(3)
LaPrDy4 GGA-PBE relaxed; Fermi-level density of states = 2.611 states/eV/atom
1.0
-2.5558 -3.1922 5.2894
3.7968 -4.2513 3.4943
2.0117 1.6102 6.1693
Pr La Dy
1 1 4
direct
0.0000 0.0000 0.0000
0.2500 0.2500 0.2500
0.6254 0.6254 0.1237
0.6254 0.1237 0.6254
0.6254 0.6254 0.6254
0.1237 0.6254 0.6254

Computed stability ranking, most favorable first: (1), (2), (3)

(1)
La2Pr4Dy GGA-PBE relaxed; Fermi-level density of states = 1.578 states/eV/atom
1.0
-5.3081 -0.8481 4.1373
-2.6667 -5.4930 -6.7331
6.5301 -5.9044 1.6275
Pr Dy La
8 2 4
direct
0.7601 0.1809 0.0921
0.0433 0.6356 0.6744
0.5755 0.7875 0.5082
0.2086 0.4645 0.4022
0.3453 0.1112 0.2827
0.6722 0.6039 0.8992
0.2424 0.3231 0.9058
0.9606 0.8179 0.2865
0.6568 0.4661 0.2966
0.9469 0.9623 0.8789
0.3836 0.9641 0.7493
0.6451 0.2870 0.6713
0.9553 0.1459 0.5108
0.3543 0.7499 0.0919

(2)
La2Pr4Dy GGA-PBE relaxed; Fermi-level density of states = 1.527 states/eV/atom
1.0
3.7215 0.0000 0.0000
1.8607 3.2229 0.0000
1.8607 1.0743 20.8993
La Pr Dy
2 4 1
direct
0.5945 0.5945 0.2164
0.4055 0.4055 0.7836
0.6910 0.6910 0.9270
0.8797 0.8797 0.3609
0.3090 0.3090 0.0730
0.1203 0.1203 0.6391
0.5000 0.5000 0.5000

Computed stability ranking, most favorable first: (2), (1)

(1)
La3Pr8Dy2 GGA-PBE relaxed; Fermi-level density of states = 1.616 states/eV/atom
1.0
5.8507 0.0000 0.4963
0.0000 7.7977 0.0000
-0.8928 -3.8989 10.3919
La Pr Dy
3 8 2
direct
0.5000 0.0000 0.0000
0.0000 0.2910 0.0000
0.0000 0.7090 0.0000
0.0015 0.6772 0.3544
0.9985 0.3228 0.6456
0.9985 0.1355 0.2709
0.0015 0.8645 0.7291
0.5002 0.5997 0.7824
0.5002 0.1827 0.7824
0.4998 0.8173 0.2176
0.4998 0.4003 0.2176
0.4977 0.2412 0.4823
0.5023 0.7588 0.5177

(2)
La3Pr8Dy2 GGA-PBE relaxed; Fermi-level density of states = 1.826 states/eV/atom
1.0
-3.9140 -1.9857 4.4981
-5.3005 -6.2909 -3.7446
3.9210 -7.1485 3.9010
La Pr Dy
3 8 2
direct
0.5000 0.0000 0.0000
0.0000 0.2392 0.7608
0.0000 0.7608 0.2392
0.2087 0.5582 0.5582
0.7913 0.4418 0.4418
0.9549 0.1580 0.1580
0.0451 0.8420 0.8420
0.6765 0.5693 0.0798
0.6765 0.0798 0.5693
0.3235 0.9202 0.4307
0.3235 0.4307 0.9202
0.3644 0.2908 0.2908
0.6356 0.7092 0.7092

Computed stability ranking, most favorable first: (2), (1)

(1)
LaPr3Dy2 GGA-PBE relaxed; Fermi-level density of states = 1.518 states/eV/atom
1.0
-5.9332 -2.2814 2.4482
-2.0647 -6.1105 -2.1907
0.8261 -8.5817 7.7725
La Pr Dy
2 6 4
direct
0.2559 0.7441 0.2500
0.7441 0.2559 0.7500
0.2545 0.7455 0.7500
0.7455 0.2545 0.2500
0.1638 0.1677 0.9165
0.8323 0.8362 0.5835
0.1677 0.1638 0.4165
0.8362 0.8323 0.0835
0.6658 0.6648 0.4183
0.6648 0.6658 0.9183
0.3352 0.3342 0.0817
0.3342 0.3352 0.5817

(2)
LaPr3Dy2 GGA-PBE relaxed; Fermi-level density of states = 1.769 states/eV/atom
1.0
3.5215 0.0000 0.0000
0.0000 6.0445 0.0000
-1.7608 -3.0223 9.9698
La Pr Dy
1 3 2
direct
0.0000 0.0000 0.0000
0.0000 0.5000 0.0000
0.8089 0.8089 0.6178
0.1911 0.1911 0.3822
0.6380 0.6380 0.2759
0.3620 0.3620 0.7241

Computed stability ranking, most favorable first: (1), (2)